# 1
The following is a DFT calculation (GGA-PBE) of a relaxed MgGa2Cu3 crystal.

Output
Energy relative to the lowest polymorph listed for this composition ... 76 meV/atom
D(E_F) ... 3.65 states/eV/cell
Volume ... 199.87 Å³ per cell
Formation enthalpy at 0 K ... -0.34 eV/f.u.
Crystal system ... monoclinic
Total energy ... -3.380 eV per atom
Symmetry ... No. 12

Lattice parameters (Å, degrees): 4.2441 7.2362 8.2380 123.80 104.93 90.00
Fractional positions:
Mg  0.1285  0.1447  0.2570
Mg  0.8715  0.8553  0.7430
Ga  0.4976  0.1795  0.9952
Ga  0.5024  0.8205  0.0048
Ga  0.1770  0.6339  0.3540
Ga  0.8230  0.3661  0.6460
Cu  0.6940  0.4545  0.3879
Cu  0.9650  0.2959  0.9300
Cu  0.4016  0.3643  0.8032
Cu  0.5984  0.6357  0.1968
Cu  0.0350  0.7041  0.0700
Cu  0.3060  0.5455  0.6121

---

# 2
The following is a DFT calculation (GGA-PBE) of a relaxed PrPaOs crystal.

Output
Energy relative to the lowest polymorph listed for this composition ... 31 meV/atom
D(E_F) ... 18.11 states/eV/cell
Volume ... 328.38 Å³ per cell
Formation enthalpy at 0 K ... -0.28 eV/f.u.
Crystal system ... monoclinic
Total energy ... -8.596 eV per atom
Symmetry ... No. 14

Lattice parameters (Å, degrees): 6.8231 6.6361 7.2730 90.00 90.00 94.31
Fractional positions:
Os  0.6910  0.7433  0.4275
Os  0.1910  0.7433  0.0725
Os  0.8090  0.2567  0.9275
Os  0.3090  0.2567  0.5725
Pa  0.7733  0.5777  0.1174
Pa  0.2733  0.5777  0.3826
Pa  0.7267  0.4223  0.6174
Pa  0.2267  0.4223  0.8826
Pr  0.0008  0.9207  0.7415
Pr  0.5008  0.9207  0.7585
Pr  0.4992  0.0793  0.2415
Pr  0.9992  0.0793  0.2585

---

# 3
The following is a DFT calculation (GGA-PBE) of a relaxed Tl2Pd12Pt5 crystal.

Output
D(E_F) ... 28.04 states/eV/cell
Volume ... 324.16 Å³ per cell
Formation enthalpy at 0 K ... 0.77 eV/f.u.
Crystal system ... monoclinic
Total energy ... -5.078 eV per atom
Symmetry ... No. 12

Lattice parameters (Å, degrees): 8.1453 7.3634 6.5477 83.52 90.00 123.58
Fractional positions:
Tl  0.7609  0.0000  0.0000
Tl  0.2391  0.0000  0.0000
Pd  0.1268  0.2536  0.1293
Pd  0.0762  0.5162  0.8146
Pd  0.4400  0.5162  0.8146
Pd  0.1726  0.7861  0.4325
Pd  0.6135  0.7861  0.4325
Pd  0.4490  0.8981  0.7186
Pd  0.5510  0.1019  0.2814
Pd  0.8274  0.2139  0.5675
Pd  0.3865  0.2139  0.5675
Pd  0.9238  0.4838  0.1854
Pd  0.5600  0.4838  0.1854
Pd  0.8732  0.7464  0.8707
Pt  0.2204  0.4408  0.4833
Pt  0.3486  0.6973  0.1172
Pt  0.0000  0.0000  0.5000
Pt  0.6514  0.3027  0.8828
Pt  0.7796  0.5592  0.5167

---

# 4
The following is a DFT calculation (GGA-PBE) of a relaxed K2Si2AgS6 crystal.

Output
D(E_F) ... 8.32 states/eV/cell
Volume ... 310.55 Å³ per cell
Crystal system ... trigonal
Energy relative to the elements, uncorrected ... -0.572 eV per atom
Total energy ... -4.268 eV per atom
Symmetry ... No. 166

Lattice parameters (Å, degrees): 6.9145 6.9145 8.4964 65.99 65.99 60.00
Fractional positions:
K  0.7827  0.7827  0.6519
K  0.2173  0.2173  0.3481
Si  0.4149  0.4149  0.7553
Si  0.5851  0.5851  0.2447
Ag  0.0000  0.0000  0.0000
S  0.7524  0.7524  0.2545
S  0.2407  0.7524  0.2545
S  0.7524  0.2407  0.2545
S  0.2476  0.7593  0.7455
S  0.7593  0.2476  0.7455
S  0.2476  0.2476  0.7455

---

# 5
The following is a DFT calculation (GGA-PBE) of a relaxed Hf2H2Br crystal.

Output
Energy relative to the lowest polymorph listed for this composition ... 64 meV/atom
D(E_F) ... 7.22 states/eV/cell
Volume ... 136.20 Å³ per cell
Crystal system ... tetragonal
Total energy ... -5.477 eV per atom
Symmetry ... No. 127

Lattice parameters (Å, degrees): 6.5928 6.5928 3.1337 90.00 90.00 90.00
Fractional positions:
H  0.3950  0.8950  0.0000
H  0.8950  0.6050  0.0000
H  0.6050  0.1050  0.0000
H  0.1050  0.3950  0.0000
Hf  0.1490  0.6490  0.5000
Hf  0.6490  0.8510  0.5000
Hf  0.8510  0.3510  0.5000
Hf  0.3510  0.1490  0.5000
Br  0.0000  0.0000  0.0000
Br  0.5000  0.5000  0.0000

---

# 6
The following is a DFT calculation (GGA-PBE) of a relaxed Sr2ClF3 crystal.

Output
D(E_F) ... 0.00 states/eV/cell
Volume ... 323.29 Å³ per cell
Crystal system ... monoclinic
Energy relative to the elements, uncorrected ... -3.516 eV per atom
Total energy ... -5.320 eV per atom
Symmetry ... No. 12

Lattice parameters (Å, degrees): 3.9815 8.4017 10.1815 101.94 90.00 103.71
Fractional positions:
Sr  0.1932  0.3864  0.1389
Sr  0.8068  0.6136  0.8611
Sr  0.4646  0.9291  0.2138
Sr  0.5354  0.0709  0.7862
Sr  0.3584  0.7169  0.5408
Sr  0.6416  0.2831  0.4592
Cl  0.1599  0.3197  0.7105
Cl  0.8401  0.6803  0.2895
Cl  0.0000  0.0000  0.0000
F  0.0400  0.0801  0.3216
F  0.9600  0.9199  0.6784
F  0.2165  0.4330  0.3975
F  0.7835  0.5670  0.6025
F  0.6234  0.2467  0.2119
F  0.3766  0.7533  0.7881
F  0.5000  0.0000  0.5000
F  0.3239  0.6477  0.0329
F  0.6761  0.3523  0.9671

---

# 7
The following is a DFT calculation (GGA-PBE) of a relaxed Rb2Cu2NiBr6 crystal.

Output
Volume ... 333.46 Å³ per cell
Crystal system ... monoclinic
Energy relative to the elements, uncorrected ... -0.801 eV per atom
Total energy ... -3.159 eV per atom
Symmetry ... No. 12

Lattice parameters (Å, degrees): 7.1482 8.2404 6.3924 99.56 90.00 115.70
Fractional positions:
Rb  0.7008  0.4016  0.2169
Rb  0.2992  0.5984  0.7831
Cu  0.9717  0.9435  0.7723
Cu  0.0283  0.0565  0.2277
Ni  0.5000  0.0000  0.5000
Br  0.8121  0.6243  0.7538
Br  0.2048  0.8689  0.2537
Br  0.3359  0.1311  0.7463
Br  0.7952  0.1311  0.7463
Br  0.6641  0.8689  0.2537
Br  0.1879  0.3757  0.2462

---

# 8
The following is a DFT calculation (GGA-PBE) of a relaxed Ba2Mg3Au4 crystal.

Output
D(E_F) ... 7.03 states/eV/cell
Volume ... 463.81 Å³ per cell
Formation enthalpy at 0 K ... -5.19 eV/f.u.
Crystal system ... orthorhombic
Total energy ... -2.992 eV per atom
Symmetry ... No. 64

Lattice parameters (Å, degrees): 6.5737 8.2930 9.1206 90.00 111.12 90.00
Fractional positions:
Ba  0.1120  0.5885  0.2240
Ba  0.8880  0.4115  0.7760
Ba  0.3880  0.0885  0.7760
Ba  0.6120  0.9115  0.2240
Mg  0.0000  0.0000  0.0000
Mg  0.5000  0.5000  0.0000
Mg  0.5357  0.7500  0.5714
Mg  0.9643  0.2500  0.4286
Mg  0.4643  0.2500  0.4286
Mg  0.0357  0.7500  0.5714
Au  0.7007  0.7500  0.9014
Au  0.7993  0.2500  0.0986
Au  0.2993  0.2500  0.0986
Au  0.2007  0.7500  0.9014
Au  0.1931  0.9651  0.3863
Au  0.8069  0.0349  0.6137
Au  0.3069  0.4651  0.6137
Au  0.6931  0.5349  0.3863

---

# 9
The following is a DFT calculation (GGA-PBE) of a relaxed PmPrSi2Pd2 crystal.

Output
D(E_F) ... 5.39 states/eV/cell
Volume ... 129.88 Å³ per cell
Crystal system ... trigonal
Energy relative to the elements, uncorrected ... -0.897 eV per atom
Total energy ... -6.024 eV per atom
Symmetry ... No. 164

Lattice parameters (Å, degrees): 4.2214 4.2214 8.4158 90.00 90.00 120.00
Fractional positions:
Pm  0.0000  0.0000  0.5000
Pr  0.0000  0.0000  0.0000
Si  0.3333  0.6667  0.2520
Si  0.6667  0.3333  0.7480
Pd  0.3333  0.6667  0.7436
Pd  0.6667  0.3333  0.2564

---

# 10
The following is a DFT calculation (GGA-PBE) of a relaxed CaFeMo2 crystal.

Output
Energy relative to the lowest polymorph listed for this composition ... 23 meV/atom
D(E_F) ... 4.26 states/eV/cell
Volume ... 73.46 Å³ per cell
Formation enthalpy at 0 K ... 2.17 eV/f.u.
Crystal system ... monoclinic
Total energy ... -7.490 eV per atom
Symmetry ... No. 6

Lattice parameters (Å, degrees): 4.2496 2.7841 6.3078 79.83 90.00 90.00
Site moments in Bohr magnetons follow the coordinates.
Fractional positions:
Mo  0.0000  0.0326  0.9967  -0.05
Mo  0.5000  0.2497  0.1852  0.02
Ca  0.0000  0.4814  0.5058  -0.02
Fe  0.5000  0.7363  0.8123  2.33

---

# 11
The following is a DFT calculation (GGA-PBE) of a relaxed HgC2Br crystal.

Output
Energy relative to the lowest polymorph listed for this composition ... 539 meV/atom
D(E_F) ... 2.65 states/eV/cell
Volume ... 61.28 Å³ per cell
Crystal system ... cubic
Energy relative to the elements, uncorrected ... 3.007 eV per atom
Total energy ... -2.098 eV per atom
Symmetry ... No. 225

Lattice parameters (Å, degrees): 4.4254 4.4254 4.4254 60.00 60.00 60.00
Fractional positions:
C  0.2500  0.2500  0.2500
C  0.7500  0.7500  0.7500
Hg  0.5000  0.5000  0.5000
Br  0.0000  0.0000  0.0000

---

# 12
The following is a DFT calculation (GGA-PBE) of a relaxed Tm3Al3Hg2Ru crystal.

Output
D(E_F) ... 11.04 states/eV/cell
Volume ... 189.32 Å³ per cell
Formation enthalpy at 0 K ... -4.63 eV/f.u.
Crystal system ... hexagonal
Total energy ... -4.350 eV per atom
Symmetry ... No. 189

Lattice parameters (Å, degrees): 4.3489 7.0899 7.0899 120.00 90.00 90.00
Fractional positions:
Tm  0.0000  0.0000  0.3979
Tm  0.0000  0.6021  0.6021
Tm  0.0000  0.3979  0.0000
Al  0.5000  0.7778  0.0000
Al  0.5000  0.2222  0.2222
Al  0.5000  0.0000  0.7778
Hg  0.5000  0.3333  0.6667
Hg  0.5000  0.6667  0.3333
Ru  0.0000  0.0000  0.0000

---

# 13
The following is a DFT calculation (GGA-PBE) of a relaxed Nd2SmHo9 crystal.

Output
Energy relative to the lowest polymorph listed for this composition ... 42 meV/atom
D(E_F) ... 18.78 states/eV/cell
Volume ... 384.96 Å³ per cell
Formation enthalpy at 0 K ... 0.76 eV/f.u.
Crystal system ... hexagonal
Total energy ... -4.558 eV per atom
Symmetry ... No. 191

Lattice parameters (Å, degrees): 3.5051 11.2613 11.2613 120.00 90.00 90.00
Fractional positions:
Nd  0.0000  0.3333  0.6667
Nd  0.0000  0.6667  0.3333
Sm  0.0000  0.0000  0.0000
Ho  0.0000  0.0000  0.5000
Ho  0.0000  0.5000  0.5000
Ho  0.0000  0.5000  0.0000
Ho  0.5000  0.3499  0.1750
Ho  0.5000  0.1750  0.8250
Ho  0.5000  0.1750  0.3499
Ho  0.5000  0.8250  0.6501
Ho  0.5000  0.8250  0.1750
Ho  0.5000  0.6501  0.8250

---

# 14
The following is a DFT calculation (GGA-PBE) of a relaxed ZnCuNi2 crystal.

Output
D(E_F) ... 4.47 states/eV/cell
Volume ... 46.80 Å³ per cell
Formation enthalpy at 0 K ... -0.45 eV/f.u.
Crystal system ... tetragonal
Total energy ... -4.347 eV per atom
Symmetry ... No. 123

Lattice parameters (Å, degrees): 3.6593 3.6546 3.4993 90.00 90.00 90.00
Fractional positions:
Ni  0.0000  0.0000  0.0000
Ni  0.5000  0.5000  0.0000
Zn  0.5000  0.0000  0.5000
Cu  0.0000  0.5000  0.5000